Density functional theory data (PBE-GGA) for a relaxed Ho4AgHg crystal.

abc: 5.0170 5.0170 7.1675
angles: 90.00 90.00 90.00
Sites, in units of the cell vectors:
Ho1 0.0000 0.5000 0.2458
Ho2 0.0000 0.5000 0.7542
Ho3 0.5000 0.0000 0.2458
Ho4 0.5000 0.0000 0.7542
Ag1 0.0000 0.0000 0.0000
Hg1 0.5000 0.5000 0.5000

Output
Symmetry   P4/mmm (123)
Density   8.9 g/cm3
Energy relative to the elements   -0.2 eV/f.u.
Total DFT energy (no corrections)   -3.62 eV per atom

***

Density functional theory data (PBE-GGA) for a relaxed Er8Ge5Se crystal.

abc: 7.5571 7.5571 7.5571
angles: 109.58 109.58 109.25
Sites, in units of the cell vectors:
Er1 0.0122 0.1256 0.7513
Er2 0.2489 0.4935 0.6153
Er3 0.3664 0.7511 0.2446
Er4 0.3743 0.2609 0.2487
Er5 0.5065 0.1218 0.7554
Er6 0.7391 0.9878 0.1134
Er7 0.8744 0.6257 0.8866
Er8 0.8782 0.6336 0.3847
Ge1 0.1278 0.0054 0.3769
Ge2 0.2491 0.8722 0.8776
Ge3 0.5000 0.5000 0.0000
Ge4 0.6285 0.7509 0.6231
Ge5 0.9946 0.3715 0.1224
Se1 0.7500 0.2500 0.5000

Output
Symmetry   I-4 (82)
Density   8.9 g/cm3
Total DFT energy (no corrections)   -5.44 eV per atom
Uncorrected formation energy   -13.088 eV per formula unit